Entry 1:
Computed, not measured: crystalline As2PtI at its relaxed geometry at the PBE level of DFT.

Values from the calculation:
Crystal system = tetragonal
Energy relative to the elements, uncorrected = 0.5 eV/f.u.
Calculated total energy = -16.43 eV/f.u.

Cell lengths 7.058, 7.058, 7.058 Å; angles 123.29, 123.29, 84.38 degrees
Positions (direct):
As1 0.040 0.625 0.915
As2 0.375 0.290 0.415
As3 0.710 0.125 0.085
As4 0.875 0.960 0.585
Pt1 0.000 0.000 0.000
Pt2 0.750 0.250 0.500
I1 0.250 0.750 0.500
I2 0.500 0.500 0.000

Entry 2:
Computed, not measured: crystalline Co2TcW at its relaxed geometry at the PBE level of DFT.

Values from the calculation:
Formation energy from the elements = 0.98 eV/f.u.
Crystal system = trigonal
Calculated total energy = -36.55 eV/f.u.

Cell lengths 8.657, 8.657, 8.657 Å; angles 17.74, 17.74, 17.74 degrees
Positions (direct):
Co1 0.249 0.249 0.249
Co2 0.751 0.751 0.751
Tc1 0.500 0.500 0.500
W1 0.000 0.000 0.000

Entry 3:
Computed, not measured: crystalline TiCr2S4 at its relaxed geometry at the PBE level of DFT.

Values from the calculation:
Crystal system = orthorhombic
Energy relative to the elements, uncorrected = -5.6 eV/f.u.
Calculated total energy = -49.26 eV/f.u.

Cell lengths 6.029, 6.029, 11.834 Å; angles 90.00, 90.00, 147.59 degrees
Positions (direct):
Ti1 0.130 0.870 0.750
Ti2 0.870 0.130 0.250
Cr1 0.370 0.630 0.574
Cr2 0.370 0.630 0.926
Cr3 0.630 0.370 0.074
Cr4 0.630 0.370 0.426
S1 0.000 0.000 0.000
S2 0.000 0.000 0.500
S3 0.279 0.721 0.116
S4 0.279 0.721 0.384
S5 0.472 0.528 0.750
S6 0.528 0.472 0.250
S7 0.721 0.279 0.616
S8 0.721 0.279 0.884